{
  "formula": "Pm4Pr6Sm",
  "functional": "PBE",
  "state": "relaxed",
  "cell": [[-3.3495, 3.3495, 8.8884], [3.3495, -3.3495, 8.8884], [3.3495, 3.3495, -8.8884]],
  "species": ["Pm", "Pm", "Pm", "Pm", "Pr", "Pr", "Pr", "Pr", "Pr", "Pr", "Sm"],
  "fractional_positions": [[0.0102, 0.6327, 0.0000], [0.3673, 0.3673, 0.3774], [0.6327, 0.0102, 0.0000], [0.9898, 0.9898, 0.6226], [0.0000, 0.5000, 0.5000], [0.1896, 0.1896, 0.6414], [0.4517, 0.8104, 0.0000], [0.5000, 0.0000, 0.5000], [0.5483, 0.5483, 0.3586], [0.8104, 0.4517, 0.0000], [0.0000, 0.0000, 0.0000]],
  "crystal_system": "tetragonal",
  "space_group": "I-42m, No. 121"
}

{
  "formula": "Pm2Pr7Sm3",
  "functional": "PBE",
  "state": "relaxed",
  "cell": [[6.2565, 0.0000, 0.0000], [0.0000, 5.6673, 0.0000], [-0.3404, 0.0000, 12.6699]],
  "species": ["Pm", "Pm", "Pr", "Pr", "Pr", "Pr", "Pr", "Pr", "Pr", "Sm", "Sm", "Sm"],
  "fractional_positions": [[0.1161, 0.0000, 0.2815], [0.8839, 0.0000, 0.7185], [0.0529, 0.5000, 0.8176], [0.2586, 0.0000, 0.5509], [0.4151, 0.0000, 0.8314], [0.5000, 0.5000, 0.0000], [0.5849, 0.0000, 0.1686], [0.7414, 0.0000, 0.4491], [0.9471, 0.5000, 0.1824], [0.0000, 0.0000, 0.0000], [0.4316, 0.5000, 0.3428], [0.5684, 0.5000, 0.6572]],
  "crystal_system": "monoclinic",
  "space_group": "P2/m, No. 10"
}

{
  "formula": "Pm7Pr3Sm",
  "functional": "PBE",
  "state": "relaxed",
  "cell": [[7.2545, 0.0000, 0.0000], [-3.6273, 6.2826, 0.0000], [0.0000, 0.0000, 8.8421]],
  "species": ["Pm", "Pm", "Pm", "Pm", "Pm", "Pm", "Pm", "Pr", "Pr", "Pr", "Sm"],
  "fractional_positions": [[0.0000, 0.0000, 0.0000], [0.1662, 0.3325, 0.3260], [0.1662, 0.8338, 0.3260], [0.5005, 0.0010, 0.9939], [0.5005, 0.4995, 0.9939], [0.6675, 0.8338, 0.3260], [0.9990, 0.4995, 0.9939], [0.3335, 0.1667, 0.6597], [0.8333, 0.1667, 0.6597], [0.8333, 0.6665, 0.6597], [0.6667, 0.3333, 0.3197]],
  "crystal_system": "trigonal",
  "space_group": "P3m1, No. 156"
}

{
  "formula": "PmPrSm5",
  "functional": "PBE",
  "state": "relaxed",
  "cell": [[-4.0145, 5.8997, 3.1474], [4.0145, -5.8997, 3.1474], [4.0145, 5.8997, -3.1474]],
  "species": ["Pm", "Pr", "Sm", "Sm", "Sm", "Sm", "Sm"],
  "fractional_positions": [[0.0000, 0.0000, 0.0000], [0.2344, 0.7344, 0.5000], [0.4674, 0.4674, 0.0000], [0.4843, 0.7324, 0.7519], [0.7339, 0.0540, 0.3201], [0.7339, 0.4138, 0.6799], [0.9805, 0.7324, 0.2481]],
  "crystal_system": "orthorhombic",
  "space_group": "Imm2, No. 44"
}

{
  "formula": "Pm12PrSm2",
  "functional": "PBE",
  "state": "relaxed",
  "cell": [[6.5564, 0.0000, 0.0000], [0.0000, 6.5564, 0.0000], [0.0000, 0.0000, 25.5337]],
  "species": ["Pm", "Pm", "Pm", "Pm", "Pm", "Pm", "Pm", "Pm", "Pm", "Pm", "Pm", "Pm", "Pm", "Pm", "Pm", "Pm", "Pm", "Pm", "Pm", "Pm", "Pm", "Pm", "Pm", "Pm", "Pr", "Pr", "Sm", "Sm", "Sm", "Sm"],
  "fractional_positions": [[0.0658, 0.5658, 0.1161], [0.0658, 0.9342, 0.8839], [0.0825, 0.5825, 0.4383], [0.0825, 0.9175, 0.5617], [0.2500, 0.2500, 0.2165], [0.2500, 0.2500, 0.3387], [0.2500, 0.2500, 0.6613], [0.2500, 0.2500, 0.7835], [0.4175, 0.5825, 0.5617], [0.4175, 0.9175, 0.4383], [0.4342, 0.5658, 0.8839], [0.4342, 0.9342, 0.1161], [0.5658, 0.0658, 0.8839], [0.5658, 0.4342, 0.1161], [0.5825, 0.0825, 0.5617], [0.5825, 0.4175, 0.4383], [0.7500, 0.7500, 0.2165], [0.7500, 0.7500, 0.3387], [0.7500, 0.7500, 0.6613], [0.7500, 0.7500, 0.7835], [0.9175, 0.0825, 0.4383], [0.9175, 0.4175, 0.5617], [0.9342, 0.0658, 0.1161], [0.9342, 0.4342, 0.8839], [0.2500, 0.7500, 0.0000], [0.7500, 0.2500, 0.0000], [0.2500, 0.7500, 0.2711], [0.2500, 0.7500, 0.7289], [0.7500, 0.2500, 0.2711], [0.7500, 0.2500, 0.7289]],
  "crystal_system": "tetragonal",
  "space_group": "P4/nbm, No. 125"
}

{
  "formula": "Pm7Pr3Sm",
  "functional": "PBE",
  "state": "relaxed",
  "cell": [[5.9431, -5.1395, 0.0000], [5.9431, 5.1395, 0.0000], [-0.5771, 0.0000, 6.4956]],
  "species": ["Pm", "Pm", "Pm", "Pm", "Pm", "Pm", "Pm", "Pr", "Pr", "Pr", "Sm"],
  "fractional_positions": [[0.0000, 0.0000, 0.0000], [0.0722, 0.4174, 0.2613], [0.2610, 0.2610, 0.7868], [0.4174, 0.0722, 0.2613], [0.5826, 0.9278, 0.7387], [0.7390, 0.7390, 0.2132], [0.9278, 0.5826, 0.7387], [0.3265, 0.6735, 0.0000], [0.5000, 0.5000, 0.5000], [0.6735, 0.3265, 0.0000], [0.0000, 0.0000, 0.5000]],
  "crystal_system": "monoclinic",
  "space_group": "C2/m, No. 12"
}

| no. | ΔH_f (0 K) (meV per atom) |
| --- | --- |
| 1 | 275 |
| 2 | 271 |
| 3 | 166 |
| 4 | 865 |
| 5 | 298 |
| 6 | 215 |